Model 1:
Entry from the Alexandria database: a relaxed structure of LiZrTe (PBE).

```
LiZrTe
1.0
-2.7541 -2.9208 -1.4011
2.7423 -1.1232 -3.0491
3.0479 -5.0880 4.6154
Zr Li Te
2 2 2
Cartesian
1.5239 -2.5440 2.3077
1.5181 -4.5660 0.0826
-0.8562 -2.3299 0.0882
3.8982 -4.7801 2.3021
1.0206 -5.4628 2.9301
2.0214 -1.6471 -0.5399
```

* density: 5.5 g/cm³

---

Model 2:
Entry from the Alexandria database: a relaxed structure of LiZrTe (PBE).

```
LiZrTe
1.0
-3.1469 -3.4822 -0.3655
-1.3861 -2.3333 3.8466
-4.3644 0.5872 1.6642
Li Zr Te
1 1 1
Cartesian
-4.4487 -2.6142 2.5727
0.0000 0.0000 0.0000
-6.6730 -3.9213 3.8590
```

* density: 5.1 g/cm³

---

Stability check: which of them is least stable? model 2.

---

Model 1:
Entry from the Alexandria database: a relaxed structure of LiThTl (PBE).

```
LiThTl
1.0
3.5192 0.0000 0.0000
0.0000 4.9950 0.0000
0.0000 -2.4975 4.3258
Th Tl Li
1 1 1
Cartesian
2.3463 0.0000 2.8839
0.5835 0.0000 0.0000
0.5894 2.4975 1.4419
```

* density: 9.7 g/cm³

---

Model 2:
Entry from the Alexandria database: a relaxed structure of LiThTl (PBE).

```
LiThTl
1.0
-3.1226 1.2875 0.7331
-1.3734 -1.8742 -2.5587
1.2521 -4.3727 4.8653
Li Tl Th
1 1 1
Cartesian
-0.6129 -2.8717 2.4326
-3.0882 -4.2298 2.4216
-2.4880 -1.4176 0.0395
```

* density: 9.9 g/cm³

---

Stability check: which of them is least stable? model 2.

---

Model 1:
Entry from the Alexandria database: a relaxed structure of LiThTl (PBE).

```
LiThTl
1.0
-0.4964 2.6270 -3.6282
0.9839 -3.4966 -2.6663
-7.3278 -1.8225 -0.3140
Li Th Tl
2 2 2
Cartesian
-3.5418 -1.1287 -1.7305
-3.2985 -1.5634 -4.8780
-0.4980 -2.2428 -2.9537
-6.3423 -0.4493 -3.6548
-4.6932 -3.2851 -3.1349
-2.1471 0.5929 -3.4736
```

* density: 9.6 g/cm³

---

Model 2:
Entry from the Alexandria database: a relaxed structure of LiThTl (PBE).

```
LiThTl
1.0
4.5808 -0.0008 -2.0420
-2.9529 5.3550 -0.4673
-0.0127 0.1769 6.1304
Tl Li Th
2 2 2
Cartesian
-0.1415 4.4373 -0.3193
1.7567 1.0938 3.9403
-1.9785 3.6393 1.7192
3.5937 1.8917 1.9019
1.2150 4.1601 2.7237
0.4003 1.3710 0.8973
```

* density: 9.7 g/cm³

---

Stability check: which of them is least stable? model 2.

---

Model 1:
Entry from the Alexandria database: a relaxed structure of LiTm2Th (PBE).

```
LiTm2Th
1.0
-1.2496 -1.6540 2.7680
1.9204 -0.2752 2.8627
-4.0828 8.9959 5.6926
Th Tm Li
1 2 1
Cartesian
-1.7029 3.5265 5.6589
-3.0431 6.6687 4.7713
-0.8150 1.6817 2.7972
0.4430 -1.2768 3.7575
```

* density: 8.2 g/cm³

---

Model 2:
Entry from the Alexandria database: a relaxed structure of LiTm2Th (PBE).

```
LiTm2Th
1.0
3.5876 0.0000 0.0000
0.0000 5.6537 0.0000
0.0000 0.0000 5.6537
Li Tm Th
1 2 1
Cartesian
1.7938 0.0000 0.0000
0.0000 2.8269 0.0000
0.0000 0.0000 2.8269
1.7938 2.8269 2.8269
```

* density: 8.4 g/cm³

---

Stability check: which of them is least stable? model 2.

---

Model 1:
Entry from the Alexandria database: a relaxed structure of LiTm2Th (PBE).

```
LiTm2Th
1.0
3.4880 0.0000 0.0000
1.7440 3.0207 0.0000
1.7440 1.0069 11.8194
Li Th Tm
1 1 2
Cartesian
0.0000 0.0000 0.0000
3.4880 2.0138 5.9097
5.2320 3.0207 3.1684
1.7440 1.0069 8.6510
```

* density: 7.7 g/cm³

---

Model 2:
Entry from the Alexandria database: a relaxed structure of LiTm2Th (PBE).

```
LiTm2Th
1.0
3.6033 0.0000 0.0000
0.0000 3.6033 0.0000
0.0000 0.0000 8.5614
Tm Th Li
2 1 1
Cartesian
0.0000 0.0000 6.6126
0.0000 0.0000 1.9488
1.8016 1.8016 4.2807
1.8016 1.8016 0.0000
```

* density: 8.6 g/cm³

---

Stability check: which of them is least stable? model 1.

---

Model 1:
Entry from the Alexandria database: a relaxed structure of LiTmTh (PBE).

```
LiTmTh
1.0
3.6151 0.0000 0.0000
0.0000 3.6151 0.0000
-1.8076 -1.8076 6.2770
Li Th Tm
1 1 1
Cartesian
1.8076 1.8076 2.1524
0.0000 0.0000 0.0817
0.0000 0.0000 4.0429
```

* density: 8.3 g/cm³

---

Model 2:
Entry from the Alexandria database: a relaxed structure of LiTmTh (PBE).

```
LiTmTh
1.0
-3.5608 -0.3612 0.1108
0.3769 -3.4667 0.8138
0.0899 2.9251 12.4192
Th Tm Li
2 2 2
Cartesian
-1.7441 1.0003 5.0692
0.2421 0.0108 7.8123
-1.7098 2.1167 9.8093
0.2078 -1.1056 3.0722
0.2737 1.0408 12.1851
-1.7758 -0.0296 0.6964
```

* density: 8.3 g/cm³

---

Model 3:
Entry from the Alexandria database: a relaxed structure of LiTmTh (PBE).

```
LiTmTh
1.0
3.4556 0.0000 0.0000
-1.7278 2.9927 0.0000
0.0000 0.0000 8.4324
Li Tm Th
1 1 1
Cartesian
0.0000 0.0000 8.3940
0.0000 1.9951 5.6445
1.7278 0.9976 2.8264
```

* density: 7.8 g/cm³

---

Stability check: which of them is least stable? model 3.

---

Model 1:
Entry from the Alexandria database: a relaxed structure of LiY2Th (PBE).

```
LiY2Th
1.0
-0.1776 -1.8698 2.9679
-0.8593 -3.4035 -0.1174
10.5967 -4.4839 -0.1126
Y Li Th
2 1 1
Cartesian
2.2932 -2.4152 0.6939
7.9550 -3.8257 0.1440
-0.6816 -3.5179 1.8994
4.7731 -4.8769 1.3696
```

* density: 5.7 g/cm³

---

Model 2:
Entry from the Alexandria database: a relaxed structure of LiY2Th (PBE).

```
LiY2Th
1.0
-1.6412 -3.1951 -0.6240
2.6003 -1.7071 1.9016
-4.6792 0.9818 7.2799
Li Y Th
1 2 1
Cartesian
0.4795 -2.4511 0.6388
-3.6090 0.7572 5.6149
-1.0702 0.2245 1.6650
-1.8601 -1.9602 4.2787
```

* density: 6.0 g/cm³

---

Stability check: which of them is least stable? model 1.